# Ba2ZnOsW GGA-PBE relaxed
# ΔH_f (0 K): 1.84 eV/atom
# raw total energy: -0.2954 Ry per atom
data_Ba2ZnOsW
_chemical_formula_sum 'Ba2 Zn1 Os1 W1'
_space_group_name_H-M_alt 'P 4/m m m'
_space_group_IT_number 123
_space_group_name_Hall '-P 4 2'
_cell_length_a 5.8473
_cell_length_b 5.8473
_cell_length_c 4.8937
_cell_angle_alpha 90.00
_cell_angle_beta 90.00
_cell_angle_gamma 90.00
loop_
_atom_site_label
_atom_site_fract_x
_atom_site_fract_y
_atom_site_fract_z
Ba1 0.0000 0.5000 0.0000
Zn1 0.0000 0.0000 0.5000
Os1 0.5000 0.5000 0.5000
W1 0.0000 0.0000 0.0000